Entry 1:
Entry from Alexandria: crystalline Cr2Os2Ru7 at its relaxed geometry (PBE-GGA).

* crystal system: monoclinic
* ρ: 12.23 g/cm3
* ΔE_f: 0.44 eV per atom

a = 9.873 Å, b = 8.254 Å, c = 4.331 Å
α = 90.00°, β = 113.46°, γ = 90.00°
Space group C2/m (No. 12)
Symmetry-distinct sites (fractional):
Cr (0.000, 0.243, 0.000) (multiplicity 4)
Os (0.177, 0.000, 0.169) (multiplicity 4)
Ru (0.000, 0.000, 0.500) (multiplicity 2)
Ru (0.073, 0.500, 0.336) (multiplicity 4)
Ru (0.201, 0.207, 0.706) (multiplicity 8)

Entry 2:
Entry from Alexandria: crystalline SrVBi3 at its relaxed geometry (PBE-GGA).

* crystal system: cubic
* ρ: 8.00 g/cm3
* ΔE_f: -0.03 eV per atom
* offset from the most stable computed form: 0.000 eV per atom

a = 5.416 Å, b = 5.416 Å, c = 5.416 Å
α = 90.00°, β = 90.00°, γ = 90.00°
Space group Pm-3m (No. 221)
Symmetry-distinct sites (fractional):
Sr (0.000, 0.000, 0.000) (multiplicity 1)
V (0.500, 0.500, 0.500) (multiplicity 1)
Bi (0.000, 0.500, 0.500) (multiplicity 3)

Entry 3:
Entry from Alexandria: crystalline KSn2Pd2 at its relaxed geometry (PBE-GGA).

* crystal system: tetragonal
* ρ: 6.37 g/cm3
* ΔE_f: -0.42 eV per atom
* offset from the most stable computed form: 0.000 eV per atom

a = 4.832 Å, b = 4.832 Å, c = 10.925 Å
α = 90.00°, β = 90.00°, γ = 90.00°
Space group I4/mmm (No. 139)
Symmetry-distinct sites (fractional):
K (0.000, 0.000, 0.000) (multiplicity 2)
Sn (0.000, 0.000, 0.356) (multiplicity 4)
Pd (0.000, 0.500, 0.250) (multiplicity 4)